Density functional theory data (PBE+U) for LiLaCr2O after structural relaxation.

POSCAR file:
```
LiLaCr2O
1.0
-3.493 -2.357 -0.390
0.757 -1.873 4.546
-2.300 3.133 1.674
La Cr O Li
1 2 1 1
Direct
0.000 0.500 0.000
0.000 0.000 0.500
0.500 0.000 0.000
0.000 0.000 0.000
0.500 0.500 0.500
```

Electronic total energy in eV per cell: -25.24
Density in kg/m³: 4955
Volume in Å³/cell: 89
DOS at the Fermi energy in states/eV/f.u.: 2.68
Total magnetization in μB/f.u.: 1.71